SrTmCu2O5: relaxed, GGA-PBE.

a = 3.8119 Å, b = 3.8119 Å, c = 7.5068 Å
α = 90.00°, β = 90.00°, γ = 90.00°
Last column: nearest neighbours and their distance in Å.
Sites, in units of the cell vectors:
Sr: 0.0000 0.0000 0.0000  4 O 2.70
Tm: 0.0000 0.0000 0.5000  8 O 2.36
Cu: 0.5000 0.5000 0.2682  5 O 1.94-2.01
Cu: 0.5000 0.5000 0.7318  5 O 1.94-2.01
O: 0.0000 0.5000 0.3150  2 Cu 1.94
O: 0.0000 0.5000 0.6850  2 Cu 1.94
O: 0.5000 0.0000 0.3150  2 Cu 1.94
O: 0.5000 0.0000 0.6850  2 Cu 1.94
O: 0.5000 0.5000 0.0000  2 Cu 2.01

Summary:
Total moment: 0.9 μB/f.u.
Energy relative to the elements, uncorrected: -17.031 eV per formula unit
DFT total energy: -6.241 eV/atom

=====

AlMo2As: relaxed, GGA-PBE.

a = 4.8309 Å, b = 4.8309 Å, c = 4.4990 Å
α = 105.39°, β = 105.39°, γ = 37.72°
Last column: nearest neighbours and their distance in Å.
Sites, in units of the cell vectors:
Al: 0.0000 0.0000 0.0000  7 Mo 2.64-2.75, 2 As 2.84
Mo: 0.5081 0.5081 0.5082  3 As 2.62-2.67, 4 Al 2.73-2.75, 2 Mo 2.93
Mo: 0.7443 0.7443 0.1635  3 Al 2.64-2.65, 4 As 2.74, 2 Mo 2.93
As: 0.2480 0.2480 0.6656  7 Mo 2.62-2.74, 2 Al 2.84

Summary:
Total moment: 0.0 μB/f.u.
Energy of formation from the pure elements: -0.05 eV per atom
DFT total energy: -7.565 eV/atom

=====

In2CuIr: relaxed, GGA-PBE.

a = 4.6814 Å, b = 4.6814 Å, c = 5.2681 Å
α = 100.43°, β = 100.43°, γ = 39.12°
Last column: nearest neighbours and their distance in Å.
Sites, in units of the cell vectors:
In: 0.2473 0.2473 0.2480  3 Cu 2.76-2.84, 3 Ir 2.79-2.80, 4 In 3.06-3.08
In: 0.7527 0.7527 0.7520  3 Cu 2.76-2.84, 3 Ir 2.79-2.80, 4 In 3.06-3.08
Cu: 0.0000 0.0000 0.5000  6 In 2.76-2.84, 4 Ir 3.07
Ir: 0.5000 0.5000 0.0000  6 In 2.79-2.80, 4 Cu 3.07

Summary:
Total moment: 0.0 μB/f.u.
Energy of formation from the pure elements: 0.15 eV per atom
DFT total energy: -4.456 eV/atom

=====

SrCuClO2: relaxed, GGA-PBE.

a = 6.0437 Å, b = 6.0437 Å, c = 7.2522 Å
α = 90.00°, β = 90.00°, γ = 141.53°
Last column: nearest neighbours and their distance in Å.
Sites, in units of the cell vectors:
Sr: 0.2255 0.7745 0.7500  6 O 2.58-2.61
Sr: 0.7745 0.2255 0.2500  6 O 2.58-2.61
Cu: 0.5000 0.5000 0.0000  2 O 1.78
Cu: 0.5000 0.5000 0.5000  2 O 1.78
Cl: 0.0454 0.9546 0.2500  4 Cu 2.74
Cl: 0.9546 0.0454 0.7500  4 Cu 2.74
O: 0.3475 0.6525 0.0541  1 Cu 1.78
O: 0.3475 0.6525 0.4459  1 Cu 1.78
O: 0.6525 0.3475 0.5541  1 Cu 1.78
O: 0.6525 0.3475 0.9459  1 Cu 1.78

Summary:
Total moment: 1.6 μB/f.u.
Energy relative to the elements, uncorrected: -6.745 eV per formula unit
DFT total energy: -4.857 eV/atom

=====

Si2TcAs: relaxed, GGA-PBE.

a = 7.8212 Å, b = 7.8212 Å, c = 7.8212 Å
α = 22.63°, β = 22.63°, γ = 22.63°
Last column: nearest neighbours and their distance in Å.
Sites, in units of the cell vectors:
Si: 0.0000 0.0000 0.0000  3 Si 2.57, 3 As 2.79
Si: 0.2521 0.2521 0.2521  3 Tc 2.52, 3 Si 2.57
Tc: 0.5071 0.5071 0.5071  3 Si 2.52, 3 As 2.54
As: 0.7610 0.7610 0.7610  3 Tc 2.54, 3 Si 2.79

Summary:
Total moment: 0.0 μB/f.u.
Energy relative to the elements, uncorrected: 0.550 eV per formula unit
DFT total energy: -6.328 eV/atom

=====

Y2Pt2Au: relaxed, GGA-PBE.

a = 5.5721 Å, b = 5.5721 Å, c = 5.5721 Å
α = 122.09°, β = 122.09°, γ = 86.41°
Last column: nearest neighbours and their distance in Å.
Sites, in units of the cell vectors:
Y: 0.2500 0.7500 0.5000  4 Pt 2.80
Y: 0.7500 0.2500 0.5000  4 Pt 2.80
Pt: 0.1572 0.1572 0.0000  1 Pt 2.55, 1 Au 2.78, 4 Y 2.80
Pt: 0.8428 0.8428 0.0000  1 Pt 2.55, 1 Au 2.78, 4 Y 2.80
Au: 0.5000 0.5000 0.0000  2 Pt 2.78

Summary:
Total moment: 0.0 μB/f.u.
Energy of formation from the pure elements: -0.91 eV per atom
DFT total energy: -6.569 eV/atom

=====

LaNi2Pt: relaxed, GGA-PBE.

a = 3.4704 Å, b = 3.4704 Å, c = 5.8230 Å
α = 90.00°, β = 90.00°, γ = 90.00°
Last column: nearest neighbours and their distance in Å.
Sites, in units of the cell vectors:
La: 0.0000 0.0000 0.0000  6 Ni 2.79-3.03, 4 Pt 2.99
Ni: 0.0000 0.0000 0.4794  4 Ni 2.70, 4 Pt 2.79, 1 La 2.79
Ni: 0.5000 0.5000 0.2844  1 Pt 2.46, 4 Ni 2.70
Pt: 0.5000 0.5000 0.7062  1 Ni 2.46

Summary:
Total moment: 0.6 μB/f.u.
Energy of formation from the pure elements: -0.17 eV per atom
DFT total energy: -5.800 eV/atom

=====

Sm2AlSi4Pt3: relaxed, GGA-PBE.

a = 4.1645 Å, b = 4.1645 Å, c = 10.2735 Å
α = 90.00°, β = 90.00°, γ = 90.00°
Last column: nearest neighbours and their distance in Å.
Sites, in units of the cell vectors:
Sm: 0.0000 0.5000 0.2454  8 Si 3.16-3.27, 6 Pt 3.20-3.34, 2 Al 3.34
Sm: 0.5000 0.0000 0.7546  8 Si 3.16-3.27, 6 Pt 3.20-3.34, 2 Al 3.34
Al: 0.0000 0.0000 0.5000  4 Si 2.55
Si: 0.0000 0.0000 0.0000  4 Pt 2.43
Si: 0.0000 0.5000 0.6433  3 Pt 2.41-2.55, 2 Al 2.55
Si: 0.5000 0.0000 0.3567  3 Pt 2.41-2.55, 2 Al 2.55
Si: 0.5000 0.5000 0.0000  4 Pt 2.43
Pt: 0.0000 0.5000 0.8778  5 Si 2.41-2.43
Pt: 0.5000 0.0000 0.1222  5 Si 2.41-2.43
Pt: 0.5000 0.5000 0.5000  4 Si 2.55

Summary:
Total moment: 0.0 μB/f.u.
Energy relative to the elements, uncorrected: -10.191 eV per formula unit
DFT total energy: -6.319 eV/atom